A plane-wave DFT calculation with PBE-GGA was carried out for an optimized crystal structure of DyErMgTc.

Results
E_form, eV/atom: -0.026
Symmetry: F-43m (216)
Fermi-level density of states, states/eV/atom: 0.6345

a b c (Å): 5.010 5.010 5.010
angles (deg): 60.00 60.00 60.00
Fractional positions:
Er 0.000 0.000 0.000
Mg 0.250 0.250 0.250
Dy 0.500 0.500 0.500
Tc 0.750 0.750 0.750